{
  "formula": "LiPaIrO6",
  "functional": "PBE",
  "state": "relaxed",
  "e_form_raw_ev_per_fu": -17.5,
  "total_magnetization_mub_per_fu": 2.95,
  "sg": "No. 102",
  "cell": [[-4.144, -1.696, 1.995], [-1.285, -1.937, -4.316], [4.469, -8.171, 2.337]],
  "species": ["Li", "Li", "Ir", "Ir", "O", "O", "O", "O", "O", "O", "O", "O", "O", "O", "O", "O", "Pa", "Pa"],
  "fractional_positions": [[0.000, 0.000, 0.661], [0.500, 0.500, 0.161], [0.500, 0.500, 0.834], [0.000, 0.000, 0.334], [0.719, 0.719, 0.336], [0.189, 0.811, 0.485], [0.219, 0.781, 0.836], [0.688, 0.688, 0.683], [0.312, 0.312, 0.683], [0.281, 0.281, 0.336], [0.689, 0.689, 0.985], [0.811, 0.189, 0.485], [0.781, 0.219, 0.836], [0.812, 0.188, 0.183], [0.311, 0.311, 0.985], [0.188, 0.812, 0.183], [0.000, 0.000, 0.997], [0.500, 0.500, 0.497]]
}



{
  "formula": "LiRe2Br",
  "functional": "PBE",
  "state": "relaxed",
  "e_form_raw_ev_per_fu": 2.9,
  "total_magnetization_mub_per_fu": 0.00,
  "sg": "No. 123",
  "cell": [[-2.667, -1.389, -6.976], [3.028, -1.559, -0.847], [-1.277, -3.078, 1.101]],
  "species": ["Br", "Li", "Re", "Re"],
  "fractional_positions": [[0.500, 0.500, 0.000], [0.500, 0.000, 0.500], [0.000, 0.500, 0.500], [0.000, 0.000, 0.000]]
}



{
  "formula": "YCuC",
  "functional": "PBE",
  "state": "relaxed",
  "formation_energy_mev_per_atom": 29,
  "total_magnetization_mub_per_fu": 0.00,
  "sg": "No. 8",
  "cell": [[7.322, 0.001, -0.004], [-0.925, 3.561, -0.002], [-2.094, 1.359, 3.593]],
  "species": ["C", "C", "Cu", "Cu", "Y", "Y"],
  "fractional_positions": [[0.579, 0.883, 0.188], [0.030, 0.637, 0.133], [0.504, 0.425, 0.030], [0.354, 0.694, 0.341], [0.759, 0.175, 0.783], [0.133, 0.960, 0.588]]
}



{
  "formula": "LiMg2Se2",
  "functional": "PBE",
  "state": "relaxed",
  "e_form_raw_ev_per_fu": -4.2,
  "total_magnetization_mub_per_fu": 0.00,
  "sg": "No. 127",
  "cell": [[-3.046, 6.311, -2.211], [-3.185, -3.505, -5.618], [-2.985, -0.696, 2.127]],
  "species": ["Mg", "Mg", "Mg", "Mg", "Li", "Li", "Se", "Se", "Se", "Se"],
  "fractional_positions": [[0.145, 0.645, 0.500], [0.355, 0.145, 0.500], [0.645, 0.855, 0.500], [0.855, 0.355, 0.500], [0.000, 0.000, 0.000], [0.500, 0.500, 0.000], [0.169, 0.331, 0.000], [0.669, 0.169, 0.000], [0.831, 0.669, 0.000], [0.331, 0.831, 0.000]]
}